[1]
Density functional theory data (GGA-PBE) for a relaxed ScTaHPb2 crystal.

- VASP energy: -21.4 eV per cell

a b c (Å): 5.5937 5.5937 4.8489
angles (deg): 90.00 90.00 90.00
Space group P4/mmm (No. 123)
Asymmetric unit:
1 Sc 0.0000 0.0000 0.0000 (multiplicity 1)
2 Ta 0.0000 0.0000 0.5000 (multiplicity 1)
3 H 0.5000 0.5000 0.5000 (multiplicity 1)
4 Pb 0.0000 0.5000 0.0000 (multiplicity 2)

[2]
Density functional theory data (GGA-PBE) for a relaxed CsNdUSe4 crystal.

- Uncorrected formation energy: -1.384 eV/atom

a b c (Å): 8.9416 9.4282 12.4622
angles (deg): 90.00 90.00 90.00
Space group Imma (No. 74)
Asymmetric unit:
1 Cs 0.0000 0.2500 0.1385 (multiplicity 4)
2 Nd 0.0000 0.0000 0.5000 (multiplicity 4)
3 U 0.2500 0.2500 0.7500 (multiplicity 4)
4 Se 0.0000 0.0587 0.7374 (multiplicity 8)
5 Se 0.2086 0.2500 0.5239 (multiplicity 8)

[3]
Density functional theory data (GGA-PBE) for a relaxed In6Hg5Sb crystal.

- Uncorrected formation energy: 0.019 eV/atom

a b c (Å): 5.7838 6.8643 9.2937
angles (deg): 83.49 75.83 66.32
Space group P-1 (No. 2)
Asymmetric unit:
1 In 0.0100 0.4918 0.2479 (multiplicity 2)
2 In 0.3215 0.8369 0.7513 (multiplicity 2)
3 In 0.3373 0.8447 0.2494 (multiplicity 2)
4 Hg 0.1638 0.1690 0.9962 (multiplicity 2)
5 Hg 0.1659 0.1720 0.5037 (multiplicity 2)
6 Hg 0.5000 0.5000 0.0000 (multiplicity 1)
7 Sb 0.5000 0.5000 0.5000 (multiplicity 1)

[4]
Density functional theory data (GGA-PBE) for a relaxed Sm2Dy4Mg crystal.

- Formation energy from the elements: 1.1 eV/f.u.
- Excess energy over the best structure of this formula in the dataset: 64.4 meV per atom

a b c (Å): 6.2545 12.4620 6.4645
angles (deg): 90.00 116.70 90.00
Space group P2_1/c (No. 14)
Asymmetric unit:
1 Sm 0.1981 0.0643 0.4190 (multiplicity 4)
2 Dy 0.0703 0.1673 0.8571 (multiplicity 4)
3 Dy 0.4180 0.7248 0.1780 (multiplicity 4)
4 Mg 0.5000 0.0000 0.0000 (multiplicity 2)

Density readings, ordered: 7.0 5.3 9.2 7.2 g/cm³